(1)
Computed, not measured: a relaxed structure of AlMoBr2 at the PBE level of DFT.

Structure (CIF):
```
data_AlMoBr2
_symmetry_space_group_name_H-M 'C 1 2/m 1'
_symmetry_Int_Tables_number 12
_cell_length_a 15.856
_cell_length_b 3.395
_cell_length_c 3.905
_cell_angle_alpha 90.00
_cell_angle_beta 103.79
_cell_angle_gamma 90.00
loop_
_symmetry_equiv_pos_as_xyz
'x,y,z'
'-x,-y,-z'
'-x,y,-z'
'x,-y,z'
'x+1/2,y+1/2,z'
'-x+1/2,-y+1/2,-z'
'-x+1/2,y+1/2,-z'
'x+1/2,-y+1/2,z'
loop_
_atom_site_label
_atom_site_fract_x
_atom_site_fract_y
_atom_site_fract_z
_atom_site_occupancy
Al1 0.000 0.000 0.000 1
Mo1 0.000 0.500 0.500 1
Br1 0.138 0.000 0.634 1
```

Output
E_form (uncorrected)	-45	meV/atom
polymorph energy (0 for the lowest one)	0.1642	eV per atom

---

(2)
Computed, not measured: a relaxed structure of PRh2W at the PBE level of DFT.

Structure (CIF):
```
data_PRh2W
_symmetry_space_group_name_H-M 'P m m m'
_symmetry_Int_Tables_number 47
_cell_length_a 2.869
_cell_length_b 4.444
_cell_length_c 4.446
_cell_angle_alpha 90.00
_cell_angle_beta 90.00
_cell_angle_gamma 90.00
loop_
_symmetry_equiv_pos_as_xyz
'x,y,z'
'-x,-y,-z'
'-x,-y,z'
'x,y,-z'
'x,-y,-z'
'-x,y,z'
'-x,y,-z'
'x,-y,z'
loop_
_atom_site_label
_atom_site_fract_x
_atom_site_fract_y
_atom_site_fract_z
_atom_site_occupancy
P1 0.000 0.000 0.000 1
Rh1 0.000 0.500 0.500 1
Rh2 0.500 0.000 0.500 1
W1 0.500 0.500 0.000 1
```

Output
DFT formation energy	-0.03	eV per atom

---

(3)
Computed, not measured: a relaxed structure of Ca2TcRh at the PBE level of DFT.

Structure (CIF):
```
data_Ca2TcRh
_symmetry_space_group_name_H-M 'P 4/m m m'
_symmetry_Int_Tables_number 123
_symmetry_space_group_name_Hall '-P 4 2'
_cell_length_a 4.570
_cell_length_b 4.570
_cell_length_c 4.017
_cell_angle_alpha 90.00
_cell_angle_beta 90.00
_cell_angle_gamma 90.00
loop_
_atom_site_label
_atom_site_fract_x
_atom_site_fract_y
_atom_site_fract_z
_atom_site_occupancy
Ca1 0.000 0.500 0.000 1
Tc1 0.000 0.000 0.500 1
Rh1 0.500 0.500 0.500 1
```

Output
DFT formation energy	0.41	eV per atom
polymorph energy (0 for the lowest one)	0.2682	eV per atom

---

(4)
Computed, not measured: a relaxed structure of YGa2MoN at the PBE level of DFT.

Structure (CIF):
```
data_YGa2MoN
_symmetry_space_group_name_H-M 'P 4/m m m'
_symmetry_Int_Tables_number 123
_symmetry_space_group_name_Hall '-P 4 2'
_cell_length_a 5.050
_cell_length_b 5.050
_cell_length_c 3.876
_cell_angle_alpha 90.00
_cell_angle_beta 90.00
_cell_angle_gamma 90.00
loop_
_atom_site_label
_atom_site_fract_x
_atom_site_fract_y
_atom_site_fract_z
_atom_site_occupancy
Y1 0.000 0.000 0.000 1
Ga1 0.000 0.500 0.500 1
Mo1 0.500 0.500 0.500 1
N1 0.500 0.500 0.000 1
```

Output
E_form (uncorrected)	89	meV/atom

---

(5)
Computed, not measured: a relaxed structure of SrScIn2 at the PBE level of DFT.

Structure (CIF):
```
data_SrScIn2
_symmetry_space_group_name_H-M 'I -4 m 2'
_symmetry_Int_Tables_number 119
_symmetry_space_group_name_Hall 'I -4 -2'
_cell_length_a 4.650
_cell_length_b 4.650
_cell_length_c 10.527
_cell_angle_alpha 90.00
_cell_angle_beta 90.00
_cell_angle_gamma 90.00
loop_
_atom_site_label
_atom_site_fract_x
_atom_site_fract_y
_atom_site_fract_z
_atom_site_occupancy
Sr1 0.000 0.000 0.000 1
Sc1 0.000 0.500 0.250 1
In1 0.000 0.000 0.500 1
In2 0.000 0.500 0.750 1
```

Output
DFT formation energy	-0.14	eV per atom

---

(6)
Computed, not measured: a relaxed structure of Sc3Al2H at the PBE level of DFT.

Structure (CIF):
```
data_Sc3Al2H
_symmetry_space_group_name_H-M 'C 1 2/c 1'
_symmetry_Int_Tables_number 15
_cell_length_a 12.929
_cell_length_b 5.695
_cell_length_c 5.901
_cell_angle_alpha 90.00
_cell_angle_beta 98.56
_cell_angle_gamma 90.00
loop_
_symmetry_equiv_pos_as_xyz
'x,y,z'
'-x,-y,-z'
'-x,y,-z+1/2'
'x,-y,z+1/2'
'x+1/2,y+1/2,z'
'-x+1/2,-y+1/2,-z'
'-x+1/2,y+1/2,-z+1/2'
'x+1/2,-y+1/2,z+1/2'
loop_
_atom_site_label
_atom_site_fract_x
_atom_site_fract_y
_atom_site_fract_z
_atom_site_occupancy
Sc1 0.000 0.077 0.250 1
Sc2 0.123 0.404 0.620 1
Al1 0.183 0.086 0.041 1
H1 0.000 0.433 0.250 1
```

---

Number 1: energy -4.53 eV/atom. Number 2: energy -8.30 eV/atom. Number 3: energy -5.02 eV/atom. Number 4: energy -6.25 eV/atom. Number 5: energy -3.51 eV/atom. Number 6: energy -5.31 eV/atom.